{
  "formula": "AcLaTl2Se4",
  "functional": "PBE-GGA",
  "state": "relaxed",
  "lattice": [[7.796, 0.000, 0.000], [0.000, 4.502, 0.000], [-2.596, 0.000, 7.699]],
  "species": ["Ac", "La", "Tl", "Tl", "Se", "Se", "Se", "Se"],
  "fractional_positions": [[0.000, 0.000, 0.000], [0.500, 0.500, 0.000], [0.000, 0.500, 0.500], [0.500, 0.000, 0.500], [0.246, 0.500, 0.216], [0.269, 0.000, 0.787], [0.731, 0.000, 0.213], [0.754, 0.500, 0.784]],
  "dos_at_fermi_per_ev_fu": 0.0,
  "formation_energy_uncorrected_ev_per_atom": -1.45,
  "spacegroup": "P2/m, No. 10",
  "energy_ev_per_cell": -39.28
}